VASP calculation (PBE) on an optimized crystal structure of Na2SrO.

Cell: 7.1590 7.1590 7.1691 Å, 60.05 60.05 90.00°
Fractional positions:
O 0.5000 0.5000 0.0000
O 0.2500 0.7500 0.5000
Sr 0.7500 0.2500 0.5000
Sr 0.0000 0.0000 0.0000
Na 0.3762 0.1250 0.2500
Na 0.3750 0.6238 0.7500
Na 0.8750 0.6262 0.7500
Na 0.3738 0.6250 0.2500

Computed properties:
final energy: -0.2146 Ry/atom
formation energy without anion corrections: -601 meV per atom
symmetry: No. 122

***

VASP calculation (PBE) on an optimized crystal structure of Sc8Co2Ru.

Cell: 4.5990 6.2719 8.1764 Å, 107.65 106.33 90.00°
Fractional positions:
Sc 0.8028 0.6887 0.6055
Sc 0.0333 0.7919 0.0665
Sc 0.1972 0.3113 0.3945
Sc 0.3282 0.0297 0.6565
Sc 0.5979 0.4592 0.1958
Sc 0.9667 0.2081 0.9335
Sc 0.4021 0.5408 0.8042
Sc 0.6718 0.9703 0.3435
Ru 0.5000 0.0000 0.0000
Co 0.8166 0.3078 0.6331
Co 0.1834 0.6922 0.3669

Computed properties:
final energy: -0.5161 Ry/atom
symmetry: No. 12
distance to the lowest polymorph of the same formula: 0 meV/atom

***

VASP calculation (PBE) on an optimized crystal structure of TaIn2Pt.

Cell: 4.5642 2.9965 5.6986 Å, 85.75 90.00 90.00°
Fractional positions:
In 0.0000 0.3513 0.5020
In 0.0000 0.1487 0.9980
Pt 0.5000 0.2500 0.2500
Ta 0.5000 0.7500 0.7500

Computed properties:
final energy: -0.4259 Ry/atom
symmetry: No. 10
distance to the lowest polymorph of the same formula: 182 meV/atom

***

VASP calculation (PBE) on an optimized crystal structure of Tb3Tm2Th.

Cell: 6.7885 7.7285 7.7285 Å, 74.75 90.00 90.00°
Fractional positions:
Tb 0.0773 0.8216 0.4760
Tb 0.3271 0.8544 0.8544
Tb 0.0773 0.4760 0.8216
Tb 0.8271 0.1456 0.1456
Tb 0.5773 0.5240 0.1784
Tb 0.5773 0.1784 0.5240
Th 0.3257 0.1481 0.1481
Th 0.8257 0.8519 0.8519
Tm 0.5753 0.7887 0.4467
Tm 0.5753 0.4467 0.7887
Tm 0.0753 0.5533 0.2113
Tm 0.0753 0.2113 0.5533

Computed properties:
final energy: -0.3533 Ry/atom
symmetry: No. 36
distance to the lowest polymorph of the same formula: 0 meV/atom